A plane-wave DFT calculation with PBE was carried out for crystalline DyTm6Th4 at its relaxed geometry.

a = 7.8159 Å, b = 7.8159 Å, c = 8.4778 Å
α = 117.45°, β = 117.45°, γ = 90.00°
Last column: nearest neighbours and their distance in Å.
Positions (direct):
Th (0.7573, 0.0931, 0.8504)  4 Tm 3.06-3.38, 2 Th 3.25
Th (0.0931, 0.7573, 0.8504)  4 Tm 3.06-3.38, 2 Th 3.25
Th (0.9069, 0.9069, 0.1496)  4 Tm 3.06-3.38, 2 Th 3.25
Th (0.2427, 0.2427, 0.1496)  4 Tm 3.06-3.38, 2 Th 3.25
Tm (0.5000, 0.0000, 0.0000)  4 Th 3.06
Tm (0.0680, 0.0680, 0.6422)  4 Th 3.30-3.56, 2 Tm 3.60, 1 Dy 3.62
Tm (0.5742, 0.5742, 0.6422)  4 Th 3.30-3.56, 2 Tm 3.60, 1 Dy 3.62
Tm (0.4258, 0.9320, 0.3578)  4 Th 3.30-3.56, 2 Tm 3.60, 1 Dy 3.62
Tm (0.0000, 0.5000, 0.0000)  4 Th 3.06
Tm (0.9320, 0.4258, 0.3578)  4 Th 3.30-3.56, 2 Tm 3.60, 1 Dy 3.62
Dy (0.5000, 0.5000, 0.0000)  8 Tm 3.62-3.91, 4 Th 3.79

Results
The energy of formation from the pure elements is 0.53 eV/atom.